1.
The following is a DFT calculation (GGA-PBEsol) of a relaxed structure of NaTi2O3.

The space group is P6_3/mcm (No. 193) and the conventional cell measures 5.0881, 5.0881 and 10.3386 Å, with angles of 90.00, 90.00 and 120.00 degrees. The inequivalent atoms are Na at (0.3333, 0.6667, 0.0000), Ti at (0.0000, 0.0000, 0.0000), Ti at (0.0000, 0.3355, 0.2500) and O at (0.0000, 0.3162, 0.6275).

The total magnetization comes out at 0.07 μB/f.u. For the uncorrected formation energy, the calculation gives -240 kJ/mol of atoms. Its energy above the most stable polymorph in this dataset is 0.020 eV per atom.


2.
The following is a DFT calculation (GGA-PBEsol) of a relaxed structure of MnTc3O.

The space group is Pm-3m (No. 221) and the conventional cell measures 4.3185, 4.3185 and 4.3185 Å, with angles of 90.00, 90.00 and 90.00 degrees. The inequivalent atoms are Mn at (0.0000, 0.0000, 0.0000), Tc at (0.0000, 0.0000, 0.5000) and O at (0.5000, 0.5000, 0.5000).

The total magnetization comes out at 2.33 μB/f.u. For the uncorrected formation energy, the calculation gives 187 kJ/mol of atoms.


3.
The following is a DFT calculation (GGA-PBEsol) of a relaxed structure of SrScPt2.

The space group is P4/mmm (No. 123) and the conventional cell measures 3.3421, 3.3421 and 7.2342 Å, with angles of 90.00, 90.00 and 90.00 degrees. The inequivalent atoms are Sr at (0.0000, 0.0000, 0.0000), Sc at (0.0000, 0.0000, 0.5000) and Pt at (0.5000, 0.5000, 0.2971).

The total magnetization comes out at 0.00 μB/f.u. The energy relative to the elements comes out at -90.75 kJ per mole of atoms. Its energy above the most stable polymorph in this dataset is 0.000 eV per atom.


4.
The following is a DFT calculation (GGA-PBEsol) of a relaxed structure of V6GaGe.

The space group is Pm-3 (No. 200) and the conventional cell measures 4.7049, 4.7049 and 4.7049 Å, with angles of 90.00, 90.00 and 90.00 degrees. The inequivalent atoms are V at (0.0000, 0.2528, 0.5000), Ga at (0.0000, 0.0000, 0.0000) and Ge at (0.5000, 0.5000, 0.5000).

The total magnetization comes out at 0.01 μB/f.u. The energy relative to the elements comes out at -27.94 kJ per mole of atoms.